## one
# Rb4AgAu | Alexandria | GGA-PBE | optimized geometry
data_Rb4AgAu
_cell_length_a 11.290
_cell_length_b 16.220
_cell_length_c 8.151
_cell_angle_alpha 90.00
_cell_angle_beta 123.99
_cell_angle_gamma 90.00
_symmetry_space_group_name_H-M 'C 1 2/c 1'
_symmetry_Int_Tables_number 15
loop_
_symmetry_equiv_pos_as_xyz
'x,y,z'
'-x,-y,-z'
'-x,y,-z+1/2'
'x,-y,z+1/2'
'x+1/2,y+1/2,z'
'-x+1/2,-y+1/2,-z'
'-x+1/2,y+1/2,-z+1/2'
'x+1/2,-y+1/2,z+1/2'
loop_
_atom_site_label
_atom_site_type_symbol
_atom_site_fract_x
_atom_site_fract_y
_atom_site_fract_z
Rb1 Rb 0.120 0.176 0.091
Rb2 Rb 0.203 0.440 0.272
Ag1 Ag 0.000 0.366 0.750
Au1 Au 0.000 0.001 0.750
# * calculated volume: 1237.5 Å³/cell
# * total moment: 0.000 μB per atom
# * crystal system: monoclinic

=====

## two
# Rb4AgAu | Alexandria | GGA-PBE | optimized geometry
data_Rb4AgAu
_cell_length_a 8.656
_cell_length_b 8.656
_cell_length_c 8.059
_cell_angle_alpha 90.00
_cell_angle_beta 90.00
_cell_angle_gamma 90.00
_symmetry_space_group_name_H-M 'P 4/m c c'
_symmetry_Int_Tables_number 124
_symmetry_space_group_name_Hall '-P 4 2c'
loop_
_atom_site_label
_atom_site_type_symbol
_atom_site_fract_x
_atom_site_fract_y
_atom_site_fract_z
Rb1 Rb 0.186 0.302 0.000
Ag1 Ag 0.500 0.500 0.250
Au1 Au 0.000 0.000 0.250
# * calculated volume: 603.8 Å³/cell
# * total moment: 0.000 μB per atom
# * crystal system: tetragonal

=====

Which one is most stable, and which one is least stable? one is the most stable of them, while two is the least stable.

=====

## one
# RbAgAu | Alexandria | GGA-PBE | optimized geometry
data_RbAgAu
_cell_length_a 5.154
_cell_length_b 5.155
_cell_length_c 8.027
_cell_angle_alpha 98.26
_cell_angle_beta 98.41
_cell_angle_gamma 105.13
_symmetry_space_group_name_H-M 'P 1'
_symmetry_Int_Tables_number 1
loop_
_symmetry_equiv_pos_as_xyz
'x,y,z'
loop_
_atom_site_label
_atom_site_type_symbol
_atom_site_fract_x
_atom_site_fract_y
_atom_site_fract_z
Rb1 Rb 0.000 0.000 0.000
Rb2 Rb 0.120 0.122 0.442
Ag1 Ag 0.340 0.551 0.854
Ag2 Ag 0.570 0.782 0.588
Au1 Au 0.452 0.669 0.221
Au2 Au 0.757 0.364 0.721
# * calculated volume: 200.0 Å³/cell
# * total moment: 0.000 μB per atom
# * crystal system: triclinic

=====

## two
# RbAgAu | Alexandria | GGA-PBE | optimized geometry
data_RbAgAu
_cell_length_a 4.686
_cell_length_b 8.458
_cell_length_c 9.878
_cell_angle_alpha 90.00
_cell_angle_beta 90.00
_cell_angle_gamma 90.00
_symmetry_space_group_name_H-M 'I m m m'
_symmetry_Int_Tables_number 71
_symmetry_space_group_name_Hall '-I 2 2'
loop_
_atom_site_label
_atom_site_type_symbol
_atom_site_fract_x
_atom_site_fract_y
_atom_site_fract_z
Rb1 Rb 0.000 0.000 0.247
Ag1 Ag 0.000 0.337 0.000
Au1 Au 0.000 0.337 0.500
# * calculated volume: 391.5 Å³/cell
# * total moment: 0.000 μB per atom
# * crystal system: orthorhombic

=====

Which one is most stable, and which one is least stable? two is the most stable of them, while one is the least stable.

=====

## one
# RbAgAu | Alexandria | GGA-PBE | optimized geometry
data_RbAgAu
_cell_length_a 3.889
_cell_length_b 3.889
_cell_length_c 12.080
_cell_angle_alpha 90.00
_cell_angle_beta 90.00
_cell_angle_gamma 90.00
_symmetry_space_group_name_H-M 'I 4 m m'
_symmetry_Int_Tables_number 107
_symmetry_space_group_name_Hall 'I 4 -2'
loop_
_atom_site_label
_atom_site_type_symbol
_atom_site_fract_x
_atom_site_fract_y
_atom_site_fract_z
Rb1 Rb 0.000 0.000 0.000
Ag1 Ag 0.000 0.000 0.267
Au1 Au 0.000 0.000 0.727
# * calculated volume: 182.7 Å³/cell
# * total moment: 0.000 μB per atom
# * crystal system: tetragonal

=====

## two
# RbAgAu | Alexandria | GGA-PBE | optimized geometry
data_RbAgAu
_cell_length_a 4.7977
_cell_length_b 4.7977
_cell_length_c 4.9006
_cell_angle_alpha 90.00
_cell_angle_beta 90.00
_cell_angle_gamma 120.00
_symmetry_space_group_name_H-M 'P -6 m 2'
_symmetry_Int_Tables_number 187
_symmetry_space_group_name_Hall 'P -6 2'
loop_
_atom_site_label
_atom_site_type_symbol
_atom_site_fract_x
_atom_site_fract_y
_atom_site_fract_z
Rb1 Rb 0.0000 0.0000 0.0000
Ag1 Ag 0.6667 0.3333 0.5000
Au1 Au 0.3333 0.6667 0.5000
# * calculated volume: 97.7 Å³/cell
# * total moment: 0.000 μB per atom
# * crystal system: hexagonal

=====

Which one is most stable, and which one is least stable? two is the most stable of them, while one is the least stable.

=====

## one
# Rb3AgAu | Alexandria | GGA-PBE | optimized geometry
data_Rb3AgAu
_cell_length_a 6.593
_cell_length_b 6.593
_cell_length_c 6.593
_cell_angle_alpha 90.00
_cell_angle_beta 90.00
_cell_angle_gamma 90.00
_symmetry_space_group_name_H-M 'P m -3 m'
_symmetry_Int_Tables_number 221
_symmetry_space_group_name_Hall '-P 4 2 3'
loop_
_atom_site_label
_atom_site_type_symbol
_atom_site_fract_x
_atom_site_fract_y
_atom_site_fract_z
Rb1 Rb 0.000 0.000 0.500
Ag1 Ag 0.500 0.500 0.500
Au1 Au 0.000 0.000 0.000
# * calculated volume: 286.6 Å³/cell
# * total moment: 0.000 μB per atom
# * crystal system: cubic

=====

## two
# Rb3AgAu | Alexandria | GGA-PBE | optimized geometry
data_Rb3AgAu
_cell_length_a 4.763
_cell_length_b 9.114
_cell_length_c 11.913
_cell_angle_alpha 90.00
_cell_angle_beta 90.08
_cell_angle_gamma 90.00
_symmetry_space_group_name_H-M 'P 1 21/m 1'
_symmetry_Int_Tables_number 11
loop_
_symmetry_equiv_pos_as_xyz
'x,y,z'
'-x,-y,-z'
'-x,y+1/2,-z'
'x,-y+1/2,z'
loop_
_atom_site_label
_atom_site_type_symbol
_atom_site_fract_x
_atom_site_fract_y
_atom_site_fract_z
Rb1 Rb 0.000 0.001 0.166
Rb2 Rb 0.498 0.250 0.522
Ag1 Ag 0.500 0.250 0.995
Au1 Au 0.500 0.250 0.237
# * calculated volume: 517.1 Å³/cell
# * total moment: 0.000 μB per atom
# * crystal system: monoclinic

=====

## three
# Rb3AgAu | Alexandria | GGA-PBE | optimized geometry
data_Rb3AgAu
_cell_length_a 5.323
_cell_length_b 10.411
_cell_length_c 7.869
_cell_angle_alpha 90.00
_cell_angle_beta 90.00
_cell_angle_gamma 90.00
_symmetry_space_group_name_H-M 'P m m n'
_symmetry_Int_Tables_number 59
loop_
_symmetry_equiv_pos_as_xyz
'x,y,z'
'-x,-y,-z'
'-x+1/2,-y+1/2,z'
'x+1/2,y+1/2,-z'
'x+1/2,-y,-z'
'-x+1/2,y,z'
'-x,y+1/2,-z'
'x,-y+1/2,z'
loop_
_atom_site_label
_atom_site_type_symbol
_atom_site_fract_x
_atom_site_fract_y
_atom_site_fract_z
Rb1 Rb 0.250 0.048 0.237
Rb2 Rb 0.250 0.250 0.745
Ag1 Ag 0.250 0.750 0.578
Au1 Au 0.250 0.750 0.944
# * calculated volume: 436.1 Å³/cell
# * total moment: 0.000 μB per atom
# * crystal system: orthorhombic

=====

Which one is most stable, and which one is least stable? three is the most stable of them, while one is the least stable.

=====

## one
# Rb2AgAu | Alexandria | GGA-PBE | optimized geometry
data_Rb2AgAu
_cell_length_a 6.755
_cell_length_b 4.970
_cell_length_c 9.792
_cell_angle_alpha 90.00
_cell_angle_beta 108.11
_cell_angle_gamma 90.00
_symmetry_space_group_name_H-M 'P 1 21/m 1'
_symmetry_Int_Tables_number 11
loop_
_symmetry_equiv_pos_as_xyz
'x,y,z'
'-x,-y,-z'
'-x,y+1/2,-z'
'x,-y+1/2,z'
loop_
_atom_site_label
_atom_site_type_symbol
_atom_site_fract_x
_atom_site_fract_y
_atom_site_fract_z
Rb1 Rb 0.210 0.250 0.428
Rb2 Rb 0.280 0.750 0.071
Ag1 Ag 0.337 0.750 0.724
Au1 Au 0.162 0.250 0.781
# * calculated volume: 312.4 Å³/cell
# * total moment: 0.000 μB per atom
# * crystal system: monoclinic

=====

## two
# Rb2AgAu | Alexandria | GGA-PBE | optimized geometry
data_Rb2AgAu
_cell_length_a 4.232
_cell_length_b 4.232
_cell_length_c 8.487
_cell_angle_alpha 90.00
_cell_angle_beta 90.00
_cell_angle_gamma 90.00
_symmetry_space_group_name_H-M 'P 4/m m m'
_symmetry_Int_Tables_number 123
_symmetry_space_group_name_Hall '-P 4 2'
loop_
_atom_site_label
_atom_site_type_symbol
_atom_site_fract_x
_atom_site_fract_y
_atom_site_fract_z
Rb1 Rb 0.000 0.000 0.240
Ag1 Ag 0.500 0.500 0.500
Au1 Au 0.500 0.500 0.000
# * calculated volume: 152.0 Å³/cell
# * total moment: 0.000 μB per atom
# * crystal system: tetragonal

=====

Which one is most stable, and which one is least stable? one is the most stable of them, while two is the least stable.

=====

## one
# Rb2AgAu | Alexandria | GGA-PBE | optimized geometry
data_Rb2AgAu
_cell_length_a 4.966
_cell_length_b 5.020
_cell_length_c 12.543
_cell_angle_alpha 90.00
_cell_angle_beta 90.00
_cell_angle_gamma 90.00
_symmetry_space_group_name_H-M 'A m m 2'
_symmetry_Int_Tables_number 38
loop_
_symmetry_equiv_pos_as_xyz
'x,y,z'
'-x,-y,z'
'-x,y,z'
'x,-y,z'
'x,y+1/2,z+1/2'
'-x,-y+1/2,z+1/2'
'-x,y+1/2,z+1/2'
'x,-y+1/2,z+1/2'
loop_
_atom_site_label
_atom_site_type_symbol
_atom_site_fract_x
_atom_site_fract_y
_atom_site_fract_z
Rb1 Rb 0.000 0.000 0.000
Rb2 Rb 0.500 0.000 0.287
Ag1 Ag 0.000 0.000 0.700
Au1 Au 0.500 0.000 0.584
# * calculated volume: 312.7 Å³/cell
# * total moment: 0.000 μB per atom
# * crystal system: orthorhombic

=====

## two
# Rb2AgAu | Alexandria | GGA-PBE | optimized geometry
data_Rb2AgAu
_cell_length_a 9.204
_cell_length_b 9.204
_cell_length_c 9.307
_cell_angle_alpha 90.00
_cell_angle_beta 90.00
_cell_angle_gamma 90.00
_symmetry_space_group_name_H-M 'I -4 2 d'
_symmetry_Int_Tables_number 122
_symmetry_space_group_name_Hall 'I -4 2bw'
loop_
_atom_site_label
_atom_site_type_symbol
_atom_site_fract_x
_atom_site_fract_y
_atom_site_fract_z
Rb1 Rb 0.238 0.250 0.125
Ag1 Ag 0.000 0.000 0.500
Au1 Au 0.000 0.000 0.000
# * calculated volume: 788.5 Å³/cell
# * total moment: 0.000 μB per atom
# * crystal system: tetragonal

=====

## three
# Rb2AgAu | Alexandria | GGA-PBE | optimized geometry
data_Rb2AgAu
_cell_length_a 4.9849
_cell_length_b 4.9849
_cell_length_c 25.9606
_cell_angle_alpha 90.00
_cell_angle_beta 90.00
_cell_angle_gamma 120.00
_symmetry_space_group_name_H-M 'R 3 m'
_symmetry_Int_Tables_number 160
_symmetry_space_group_name_Hall 'R 3 -2"'
loop_
_atom_site_label
_atom_site_type_symbol
_atom_site_fract_x
_atom_site_fract_y
_atom_site_fract_z
Rb1 Rb 0.0000 0.0000 0.0000
Rb2 Rb 0.0000 0.0000 0.1750
Ag1 Ag 0.0000 0.0000 0.4219
Au1 Au 0.0000 0.0000 0.5863
# * calculated volume: 558.7 Å³/cell
# * total moment: 0.000 μB per atom
# * crystal system: trigonal

=====

## four
# Rb2AgAu | Alexandria | GGA-PBE | optimized geometry
data_Rb2AgAu
_cell_length_a 8.470
_cell_length_b 8.470
_cell_length_c 8.470
_cell_angle_alpha 90.00
_cell_angle_beta 90.00
_cell_angle_gamma 90.00
_symmetry_space_group_name_H-M 'F m -3 m'
_symmetry_Int_Tables_number 225
_symmetry_space_group_name_Hall '-F 4 2 3'
loop_
_atom_site_label
_atom_site_type_symbol
_atom_site_fract_x
_atom_site_fract_y
_atom_site_fract_z
Rb1 Rb 0.250 0.250 0.250
Ag1 Ag 0.000 0.000 0.000
Au1 Au 0.000 0.000 0.500
# * calculated volume: 607.5 Å³/cell
# * total moment: 0.000 μB per atom
# * crystal system: cubic

=====

Which one is most stable, and which one is least stable? one is the most stable of them, while two is the least stable.

=====

## one
# Rb2Ag2Au | Alexandria | GGA-PBE | optimized geometry
data_Rb2Ag2Au
_cell_length_a 5.047
_cell_length_b 5.047
_cell_length_c 30.856
_cell_angle_alpha 90.00
_cell_angle_beta 90.00
_cell_angle_gamma 90.00
_symmetry_space_group_name_H-M 'I 41/a m d'
_symmetry_Int_Tables_number 141
loop_
_symmetry_equiv_pos_as_xyz
'x,y,z'
'-x,-y,-z'
'-y+1/4,x+3/4,z+1/4'
'y+1/4,-x+3/4,-z+1/4'
'-x+1/2,-y,z+1/2'
'x+1/2,y,-z+1/2'
'y+1/4,-x+1/4,z+3/4'
'-y+1/4,x+1/4,-z+3/4'
'x,-y,-z'
'-x,y,z'
'-y+1/4,-x+1/4,-z+3/4'
'y+1/4,x+1/4,z+3/4'
'-x+1/2,y,-z+1/2'
'x+1/2,-y,z+1/2'
'y+1/4,x+3/4,-z+1/4'
'-y+1/4,-x+3/4,z+1/4'
'x+1/2,y+1/2,z+1/2'
'-x+1/2,-y+1/2,-z+1/2'
'-y+3/4,x+1/4,z+3/4'
'y+3/4,-x+1/4,-z+3/4'
'-x,-y+1/2,z'
'x,y+1/2,-z'
'y+3/4,-x+3/4,z+1/4'
'-y+3/4,x+3/4,-z+1/4'
'x+1/2,-y+1/2,-z+1/2'
'-x+1/2,y+1/2,z+1/2'
'-y+3/4,-x+3/4,-z+1/4'
'y+3/4,x+3/4,z+1/4'
'-x,y+1/2,-z'
'x,-y+1/2,z'
'y+3/4,x+1/4,-z+3/4'
'-y+3/4,-x+1/4,z+3/4'
loop_
_atom_site_label
_atom_site_type_symbol
_atom_site_fract_x
_atom_site_fract_y
_atom_site_fract_z
Rb1 Rb 0.000 0.250 0.051
Ag1 Ag 0.000 0.250 0.164
Au1 Au 0.000 0.250 0.375
# * calculated volume: 786.1 Å³/cell
# * total moment: 0.000 μB per atom
# * crystal system: tetragonal

=====

## two
# Rb2Ag2Au | Alexandria | GGA-PBE | optimized geometry
data_Rb2Ag2Au
_cell_length_a 4.002
_cell_length_b 4.002
_cell_length_c 20.706
_cell_angle_alpha 90.00
_cell_angle_beta 90.00
_cell_angle_gamma 90.00
_symmetry_space_group_name_H-M 'I 4/m m m'
_symmetry_Int_Tables_number 139
_symmetry_space_group_name_Hall '-I 4 2'
loop_
_atom_site_label
_atom_site_type_symbol
_atom_site_fract_x
_atom_site_fract_y
_atom_site_fract_z
Rb1 Rb 0.000 0.000 0.104
Ag1 Ag 0.000 0.500 0.250
Au1 Au 0.000 0.000 0.500
# * calculated volume: 331.6 Å³/cell
# * total moment: 0.000 μB per atom
# * crystal system: tetragonal

=====

## three
# Rb2Ag2Au | Alexandria | GGA-PBE | optimized geometry
data_Rb2Ag2Au
_cell_length_a 6.767
_cell_length_b 6.767
_cell_length_c 8.146
_cell_angle_alpha 90.00
_cell_angle_beta 90.00
_cell_angle_gamma 90.00
_symmetry_space_group_name_H-M 'I 4/m m m'
_symmetry_Int_Tables_number 139
_symmetry_space_group_name_Hall '-I 4 2'
loop_
_atom_site_label
_atom_site_type_symbol
_atom_site_fract_x
_atom_site_fract_y
_atom_site_fract_z
Rb1 Rb 0.000 0.500 0.250
Ag1 Ag 0.000 0.000 0.165
Au1 Au 0.000 0.000 0.500
# * calculated volume: 373.1 Å³/cell
# * total moment: 0.000 μB per atom
# * crystal system: tetragonal

=====

## four
# Rb2Ag2Au | Alexandria | GGA-PBE | optimized geometry
data_Rb2Ag2Au
_cell_length_a 7.473
_cell_length_b 7.473
_cell_length_c 5.524
_cell_angle_alpha 90.00
_cell_angle_beta 90.00
_cell_angle_gamma 90.00
_symmetry_space_group_name_H-M 'P 4/m b m'
_symmetry_Int_Tables_number 127
_symmetry_space_group_name_Hall '-P 4 2ab'
loop_
_atom_site_label
_atom_site_type_symbol
_atom_site_fract_x
_atom_site_fract_y
_atom_site_fract_z
Rb1 Rb 0.183 0.317 0.000
Ag1 Ag 0.133 0.633 0.500
Au1 Au 0.000 0.000 0.500
# * calculated volume: 308.5 Å³/cell
# * total moment: 0.000 μB per atom
# * crystal system: tetragonal

=====

Which one is most stable, and which one is least stable? two is the most stable of them, while one is the least stable.

=====

## one
# Rb2Ag2Au | Alexandria | GGA-PBE | optimized geometry
data_Rb2Ag2Au
_cell_length_a 10.346
_cell_length_b 10.346
_cell_length_c 3.158
_cell_angle_alpha 90.00
_cell_angle_beta 90.00
_cell_angle_gamma 90.00
_symmetry_space_group_name_H-M 'P 4/m b m'
_symmetry_Int_Tables_number 127
_symmetry_space_group_name_Hall '-P 4 2ab'
loop_
_atom_site_label
_atom_site_type_symbol
_atom_site_fract_x
_atom_site_fract_y
_atom_site_fract_z
Rb1 Rb 0.196 0.304 0.000
Ag1 Ag 0.095 0.595 0.500
Au1 Au 0.000 0.000 0.000
# * calculated volume: 338.0 Å³/cell
# * total moment: 0.000 μB per atom
# * crystal system: tetragonal

=====

## two
# Rb2Ag2Au | Alexandria | GGA-PBE | optimized geometry
data_Rb2Ag2Au
_cell_length_a 5.053
_cell_length_b 5.703
_cell_length_c 11.061
_cell_angle_alpha 90.00
_cell_angle_beta 90.00
_cell_angle_gamma 90.00
_symmetry_space_group_name_H-M 'I m m m'
_symmetry_Int_Tables_number 71
_symmetry_space_group_name_Hall '-I 2 2'
loop_
_atom_site_label
_atom_site_type_symbol
_atom_site_fract_x
_atom_site_fract_y
_atom_site_fract_z
Rb1 Rb 0.000 0.000 0.194
Ag1 Ag 0.000 0.251 0.500
Au1 Au 0.000 0.500 0.000
# * calculated volume: 318.7 Å³/cell
# * total moment: 0.000 μB per atom
# * crystal system: orthorhombic

=====

Which one is most stable, and which one is least stable? two is the most stable of them, while one is the least stable.